Entry 1:
VASP calculation (PBE) on an optimized crystal structure of InNi3As.

Summary:
Space-group type: No. 11
Distance to the lowest polymorph of the same formula: 0.0 meV/atom
Calculated volume: 281.5 Å³ per cell
Mass density: 8.6 g/cm3

The structure in POSCAR format:
```
InNi3As
1.0
6.5356 0.0000 0.0000
0.0000 5.3221 0.0000
-0.5476 0.0000 8.0939
In Ni As
4 12 4
Direct
0.0598 0.2500 0.3460
0.3942 0.7500 0.8546
0.6058 0.2500 0.1454
0.9402 0.7500 0.6540
0.0476 0.7500 0.3472
0.2525 0.5074 0.1198
0.2525 0.9926 0.1198
0.2866 0.0015 0.5794
0.2866 0.4985 0.5794
0.3800 0.2500 0.8551
0.6200 0.7500 0.1449
0.7134 0.5015 0.4206
0.7134 0.9985 0.4206
0.7475 0.0074 0.8802
0.7475 0.4926 0.8802
0.9524 0.2500 0.6528
0.0513 0.2500 0.9333
0.4120 0.7500 0.3673
0.5880 0.2500 0.6327
0.9487 0.7500 0.0667
```

=====

Entry 2:
VASP calculation (PBE) on an optimized crystal structure of GdFeHg.

Summary:
Space-group type: No. 216
Distance to the lowest polymorph of the same formula: 0.0 meV/atom
Calculated volume: 75.9 Å³ per cell
Formation energy from the elements: 0.365 eV/atom
Mass density: 9.0 g/cm3

The structure in POSCAR format:
```
GdFeHg
1.0
0.0000 3.3608 3.3608
3.3608 0.0000 3.3608
3.3608 3.3608 0.0000
Gd Fe Hg
1 1 1
Direct
0.0000 0.0000 0.0000
0.5000 0.5000 0.5000
0.7500 0.7500 0.7500
```

=====

Entry 3:
VASP calculation (PBE) on an optimized crystal structure of TbNdGe.

Summary:
Space-group type: No. 194
Distance to the lowest polymorph of the same formula: 39.5 meV/atom
Calculated volume: 153.8 Å³ per cell
Mass density: 8.1 g/cm3

The structure in POSCAR format:
```
TbNdGe
1.0
5.2713 0.0000 0.0000
-2.6357 4.5651 0.0000
0.0000 0.0000 6.3931
Tb Nd Ge
2 2 2
Direct
0.3333 0.6667 0.2500
0.6667 0.3333 0.7500
0.0000 0.0000 0.0000
0.0000 0.0000 0.5000
0.3333 0.6667 0.7500
0.6667 0.3333 0.2500
```

=====

Entry 4:
VASP calculation (PBE) on an optimized crystal structure of CoMoPtPb.

Summary:
Space-group type: No. 216
Distance to the lowest polymorph of the same formula: 102.8 meV/atom
Calculated volume: 66.6 Å³ per cell
Mass density: 13.9 g/cm3

The structure in POSCAR format:
```
CoMoPtPb
1.0
0.0000 3.2166 3.2166
3.2166 0.0000 3.2166
3.2166 3.2166 0.0000
Co Mo Pt Pb
1 1 1 1
Direct
0.0000 0.0000 0.0000
0.2500 0.2500 0.2500
0.5000 0.5000 0.5000
0.7500 0.7500 0.7500
```

=====

Entry 5:
VASP calculation (PBE) on an optimized crystal structure of NdGdDy.

Summary:
Space-group type: No. 216
Calculated volume: 116.4 Å³ per cell
Formation energy from the elements: 0.708 eV/atom
Mass density: 6.6 g/cm3

The structure in POSCAR format:
```
NdGdDy
1.0
0.0000 3.8751 3.8751
3.8751 0.0000 3.8751
3.8751 3.8751 0.0000
Nd Gd Dy
1 1 1
Direct
0.0000 0.0000 0.0000
0.5000 0.5000 0.5000
0.7500 0.7500 0.7500
```

=====

Entry 6:
VASP calculation (PBE) on an optimized crystal structure of Zn2SnGeP4.

Summary:
Space-group type: No. 82
Calculated volume: 174.3 Å³ per cell
VASP energy: -4.29 eV/atom
Mass density: 4.2 g/cm3

The structure in POSCAR format:
```
Zn2SnGeP4
1.0
-2.7954 2.7954 5.5767
2.7954 -2.7954 5.5767
2.7954 2.7954 -5.5767
Zn Sn Ge P
2 1 1 4
Direct
0.0000 0.0000 0.0000
0.7500 0.2500 0.5000
0.5000 0.5000 0.0000
0.2500 0.7500 0.5000
0.1107 0.6342 0.0061
0.3658 0.3719 0.4765
0.6281 0.1046 0.9939
0.8954 0.8893 0.5235
```